Entry 1:
DFT (PBE-GGA) results for Y4MgAu after structural relaxation.

Cell lengths 14.012, 14.012, 14.012 Å; angles 90.00, 90.00, 90.00 degrees
Space group F-43m (No. 216)
Symmetry-distinct sites (fractional):
Y 0.000 0.000 0.183
Y 0.061 0.250 0.250
Y 0.104 0.104 0.604
Mg 0.170 0.170 0.830
Au 0.105 0.105 0.395

**Polymorph energy (0 for the lowest one)**: 0 meV/atom

Entry 2:
DFT (PBE-GGA) results for Sm2SnAu after structural relaxation.

Cell lengths 4.0276, 4.0276, 25.0682 Å; angles 90.00, 90.00, 120.00 degrees
Space group R-3m (No. 166, hexagonal axes)
Symmetry-distinct sites (fractional):
Sm 0.0000 0.0000 0.2436
Sn 0.0000 0.0000 0.0000
Au 0.0000 0.0000 0.5000

Entry 3:
DFT (PBE-GGA) results for Co5Pb3 after structural relaxation.

Cell lengths 6.765, 8.528, 4.344 Å; angles 90.00, 90.00, 90.00 degrees
Space group Cmmm (No. 65)
Symmetry-distinct sites (fractional):
Co 0.000 0.000 0.000
Co 0.209 0.500 0.500
Co 0.250 0.250 0.000
Pb 0.000 0.207 0.500
Pb 0.000 0.500 0.000

Entry 4:
DFT (PBE-GGA) results for SrAcAg after structural relaxation.

Cell lengths 5.4139, 5.4139, 4.3605 Å; angles 90.00, 90.00, 120.00 degrees
Space group P3m1 (No. 156)
Symmetry-distinct sites (fractional):
Sr 0.0000 0.0000 0.0000
Ac 0.3333 0.6667 0.4772
Ag 0.6667 0.3333 0.7609

**Polymorph energy (0 for the lowest one)**: 192 meV/atom

Entry 5:
DFT (PBE-GGA) results for ZrTa2Ni after structural relaxation.

Cell lengths 5.580, 8.987, 2.838 Å; angles 90.00, 90.00, 90.00 degrees
Space group Cmmm (No. 65)
Symmetry-distinct sites (fractional):
Zr 0.000 0.000 0.000
Ta 0.250 0.250 0.500
Ni 0.000 0.500 0.000

**Polymorph energy (0 for the lowest one)**: 323 meV/atom

Entry 6:
DFT (PBE-GGA) results for Pm3Sm4Tm2 after structural relaxation.

Cell lengths 7.171, 8.825, 9.746 Å; angles 103.25, 90.03, 90.01 degrees
Space group P-1 (No. 2)
Symmetry-distinct sites (fractional):
Pm 0.000 0.149 0.287
Pm 0.252 0.502 0.500
Pm 0.252 0.808 0.035
Sm 0.000 0.477 0.817
Sm 0.250 0.165 0.613
Sm 0.252 0.191 0.967
Sm 0.500 0.151 0.286
Tm 0.253 0.835 0.387
Tm 0.500 0.476 0.819

**Polymorph energy (0 for the lowest one)**: 11 meV/atom

What mass density values result from the calculations? In sequence: 5.6, 8.7, 12.1, 6.3, 11.9, 7.6 g/cm³.
What formation energy from the elements values result from the calculations? In sequence: -0.35, -0.57, 0.56, 0.04, 0.25, 0.03 eV per atom.
What E_tot values result from the calculations? In sequence: -5.47, -4.75, -5.27, -2.84, -9.25, -4.64 eV/atom.